# 1
## Tl2NiHg (meta-GGA SCAN)

Data for a PBEsol-optimized structure of Tl2NiHg.

Energy relative to the lowest polymorph listed for this composition   0.000 eV/atom
DOS(E_F)   4.72 states/eV/cell

abc: 6.0102 3.4228 8.6648
angles: 90.00 103.38 90.00
Space group C2/m (No. 12)
Asymmetric unit:
Tl 0.2377 0.0000 0.2062 (multiplicity 4)
Ni 0.0000 0.5000 0.0000 (multiplicity 2)
Hg 0.0000 0.0000 0.5000 (multiplicity 2)


# 2
## TlNiHg (meta-GGA SCAN)

Data for a PBEsol-optimized structure of TlNiHg.

Total energy   -51.8642 eV/atom
DOS(E_F)   1.79 states/eV/cell

abc: 3.2435 3.2435 6.3577
angles: 90.00 90.00 120.00
Space group P3m1 (No. 156)
Asymmetric unit:
Tl 0.0000 0.0000 0.0000 (multiplicity 1)
Ni 0.3333 0.6667 0.2996 (multiplicity 1)
Hg 0.6667 0.3333 0.5911 (multiplicity 1)


# 3
## Tl3NiHg (meta-GGA SCAN)

Data for a PBEsol-optimized structure of Tl3NiHg.

Total energy   -60.2487 eV/atom
DOS(E_F)   2.17 states/eV/cell

abc: 5.0259 5.0259 5.0259
angles: 90.00 90.00 90.00
Space group Pm-3m (No. 221)
Asymmetric unit:
Tl 0.0000 0.0000 0.5000 (multiplicity 3)
Ni 0.0000 0.0000 0.0000 (multiplicity 1)
Hg 0.5000 0.5000 0.5000 (multiplicity 1)


# 4
## TlNi2Hg (meta-GGA SCAN)

Data for a PBEsol-optimized structure of TlNi2Hg.

Energy relative to the lowest polymorph listed for this composition   0.052 eV/atom
DOS(E_F)   3.29 states/eV/cell

abc: 8.0188 3.1344 5.3207
angles: 90.00 103.44 90.00
Space group C2/m (No. 12)
Asymmetric unit:
Tl 0.0000 0.0000 0.0000 (multiplicity 2)
Ni 0.2500 0.0000 0.7465 (multiplicity 4)
Hg 0.0000 0.5000 0.5000 (multiplicity 2)


# 5
## TlNi2Hg (meta-GGA SCAN)

Data for a PBEsol-optimized structure of TlNi2Hg.

Energy relative to the lowest polymorph listed for this composition   0.000 eV/atom
DOS(E_F)   2.28 states/eV/cell

abc: 3.1434 3.1434 6.2065
angles: 90.00 90.00 90.00
Space group P4/mmm (No. 123)
Asymmetric unit:
Tl 0.0000 0.0000 0.0000 (multiplicity 1)
Ni 0.5000 0.5000 0.2493 (multiplicity 2)
Hg 0.0000 0.0000 0.5000 (multiplicity 1)


# 6
## Tl2NiHg (meta-GGA SCAN)

Data for a PBEsol-optimized structure of Tl2NiHg.

Energy relative to the lowest polymorph listed for this composition   0.201 eV/atom
DOS(E_F)   6.84 states/eV/cell

abc: 4.3061 4.3061 8.9995
angles: 90.00 90.00 90.00
Space group I-4m2 (No. 119)
Asymmetric unit:
Tl 0.0000 0.0000 0.0000 (multiplicity 2)
Tl 0.0000 0.5000 0.2500 (multiplicity 2)
Ni 0.0000 0.5000 0.7500 (multiplicity 2)
Hg 0.0000 0.0000 0.5000 (multiplicity 2)


# 7
## NiHg2W (meta-GGA SCAN)

Data for a PBEsol-optimized structure of NiHg2W.

Energy relative to the lowest polymorph listed for this composition   0.353 eV/atom
DOS(E_F)   4.85 states/eV/cell

abc: 5.8350 8.1483 2.7782
angles: 90.00 90.00 90.00
Space group Cmmm (No. 65)
Asymmetric unit:
Ni 0.0000 0.0000 0.0000 (multiplicity 2)
Hg 0.2500 0.2500 0.5000 (multiplicity 4)
W 0.0000 0.5000 0.0000 (multiplicity 2)


# 8
## NiHg2W (meta-GGA SCAN)

Data for a PBEsol-optimized structure of NiHg2W.

Energy relative to the lowest polymorph listed for this composition   0.000 eV/atom
DOS(E_F)   1.23 states/eV/cell

abc: 2.8724 2.8724 8.0359
angles: 90.00 90.00 90.00
Space group P4mm (No. 99)
Asymmetric unit:
Ni 0.0000 0.0000 0.0000 (multiplicity 1)
Hg 0.0000 0.0000 0.4588 (multiplicity 1)
Hg 0.5000 0.5000 0.7684 (multiplicity 1)
W 0.5000 0.5000 0.1884 (multiplicity 1)


- What is the DOS(E_F) in the seventh record?
  4.85 states/eV/cell